No. 1
{"formula": "RbSrGeCl5", "functional": "PBE", "state": "relaxed", "lattice_angstrom": [[7.679, 0.667, -0.422], [-1.603, 7.539, -0.422], [-3.033, -4.097, 10.068]], "species": ["Rb", "Rb", "Sr", "Sr", "Ge", "Ge", "Cl", "Cl", "Cl", "Cl", "Cl", "Cl", "Cl", "Cl", "Cl", "Cl"], "frac_coords": [[0.324, 0.676, 0.250], [0.676, 0.324, 0.750], [0.000, 0.000, 0.500], [0.000, 0.000, 0.000], [0.728, 0.272, 0.250], [0.272, 0.728, 0.750], [0.036, 0.964, 0.250], [0.964, 0.036, 0.750], [0.881, 0.349, 0.085], [0.119, 0.651, 0.915], [0.651, 0.119, 0.415], [0.349, 0.881, 0.585], [0.766, 0.598, 0.399], [0.234, 0.402, 0.601], [0.402, 0.234, 0.101], [0.598, 0.766, 0.899]], "space_group": "C2/c (15)", "total_magnetization_mub_per_fu": 0.0, "e_tot_ev_per_fu": -30.1}

=====

No. 2
{"formula": "As2RhSeN", "functional": "PBE", "state": "relaxed", "lattice_angstrom": [[4.303, 0.000, 0.000], [0.000, 4.303, 0.000], [0.000, 0.000, 4.212]], "species": ["As", "As", "Rh", "Se", "N"], "frac_coords": [[0.000, 0.500, 0.000], [0.500, 0.000, 0.000], [0.500, 0.500, 0.500], [0.000, 0.000, 0.500], [0.000, 0.000, 0.000]], "space_group": "P4/mmm (123)", "polymorph_energy_mev_per_atom": 0.0, "total_magnetization_mub_per_fu": 0.0}

=====

No. 3
{"formula": "CaCr2Co2", "functional": "PBE", "state": "relaxed", "lattice_angstrom": [[3.954, 0.000, 0.000], [0.000, 3.954, 0.000], [1.977, 1.977, 4.848]], "species": ["Cr", "Cr", "Ca", "Co", "Co"], "frac_coords": [[0.750, 0.250, 0.500], [0.250, 0.750, 0.500], [0.000, 0.000, 0.000], [0.376, 0.376, 0.248], [0.624, 0.624, 0.752]], "space_group": "I4/mmm (139)", "polymorph_energy_mev_per_atom": 0.0, "delta_e_f_ev_per_atom": 0.3063, "total_magnetization_mub_per_fu": 2.2}

=====

No. 4
{"formula": "Dy2Y3In2", "functional": "PBE", "state": "relaxed", "lattice_angstrom": [[-1.109, -5.106, 1.341], [5.044, 1.863, 0.416], [-4.466, 2.760, 6.813]], "species": ["Dy", "Dy", "Y", "Y", "Y", "In", "In"], "frac_coords": [[0.924, 0.848, 0.272], [0.076, 0.152, 0.728], [0.500, 0.000, 0.000], [0.653, 0.306, 0.459], [0.347, 0.694, 0.541], [0.783, 0.566, 0.849], [0.217, 0.434, 0.151]], "space_group": "R-3m (166)", "polymorph_energy_mev_per_atom": 0.0, "delta_e_f_ev_per_atom": -0.2835, "total_magnetization_mub_per_fu": 0.0}

=====

No. 5
{"formula": "MgReHg2", "functional": "PBE", "state": "relaxed", "lattice_angstrom": [[-2.438, 2.109, -2.839], [-2.322, -0.338, 1.743], [-1.041, 4.781, 4.445]], "species": ["Hg", "Hg", "Mg", "Re"], "frac_coords": [[0.000, 0.004, 0.996], [0.000, 0.496, 0.504], [0.500, 0.250, 0.250], [0.500, 0.750, 0.750]], "space_group": "Pmmm (47)", "delta_e_f_ev_per_atom": 0.5556, "total_magnetization_mub_per_fu": 0.0}

=====

No. 6
{"formula": "TiCd2Br", "functional": "PBE", "state": "relaxed", "lattice_angstrom": [[-6.270, 4.513, -3.371], [-5.429, -3.495, 5.418], [-5.344, 2.593, 2.874]], "species": ["Ti", "Ti", "Br", "Br", "Cd", "Cd", "Cd", "Cd"], "frac_coords": [[0.500, 0.500, 0.000], [0.250, 0.750, 0.500], [0.000, 0.000, 0.000], [0.750, 0.250, 0.500], [0.607, 0.125, 0.250], [0.143, 0.625, 0.250], [0.375, 0.393, 0.750], [0.875, 0.857, 0.750]], "space_group": "I-42d (122)", "polymorph_energy_mev_per_atom": 0.0, "total_magnetization_mub_per_fu": 2.3}